This record from Alexandria via LeMat-Bulk describes a geometry-optimized Ac5Ho2Sn5 structure. The functional is PBE-GGA.

Calculated values
Total magnetic moment in μB per formula unit: 0.35
DFT total energy in eV per cell: -56.11
E_form in meV per atom: -533

Geometry as extended XYZ:
```
12
Lattice="7.8014 -2.3525 0.0000 7.8014 2.3525 0.0000 -4.4939 0.0000 12.5619" Properties=species:S:1:pos:R:3 pbc="T T T"
Ac 0.0000 0.0000 0.0000
Ac 0.0701 0.0000 6.8374
Ac -0.1237 0.0000 10.6811
Ac 11.2327 0.0000 1.8808
Ac 11.0389 0.0000 5.7246
Ho 3.8737 0.0000 8.8805
Ho 7.2352 0.0000 3.6814
Sn 1.4879 0.0000 3.6540
Sn 5.6836 0.0000 1.1100
Sn 5.5545 0.0000 6.2810
Sn 5.4253 0.0000 11.4519
Sn 9.6211 0.0000 8.9079
```

This record from Alexandria via LeMat-Bulk describes a geometry-optimized Ac3HoSn4 structure. The functional is PBE-GGA.

Calculated values
Total magnetic moment in μB per formula unit: 0.00
DFT total energy in eV per cell: -74.65
E_form in meV per atom: -551

Geometry as extended XYZ:
```
16
Lattice="11.6090 0.0000 0.0000 0.0000 6.7420 0.0000 0.0000 0.0000 6.7387" Properties=species:S:1:pos:R:3 pbc="T T T"
Ac 0.0000 0.3683 0.0000
Ac 2.8677 1.8228 4.6450
Ac 2.9368 4.9192 1.2757
Ac 5.8045 6.3738 3.3693
Ac 8.6722 4.9192 1.2757
Ac 8.7414 1.8228 4.6450
Ho 0.0000 3.4857 2.9894
Ho 5.8045 3.2563 6.3587
Sn 0.0000 0.0536 3.2647
Sn 0.0000 3.6415 6.3748
Sn 2.3651 5.1953 4.6325
Sn 3.4394 1.5468 1.2632
Sn 5.8045 3.1005 3.0055
Sn 5.8045 6.6884 6.6340
Sn 8.1696 1.5468 1.2632
Sn 9.2439 5.1953 4.6325
```

This record from Alexandria via LeMat-Bulk describes a geometry-optimized Ac2HoSn structure. The functional is PBE-GGA.

Calculated values
Total magnetic moment in μB per formula unit: 0.00
Relative energy among the computed polymorphs in meV per atom: 0.0
DFT total energy in eV per cell: -18.04
E_form in meV per atom: -310

Geometry as extended XYZ:
```
4
Lattice="5.1805 0.0000 0.0000 0.0000 5.1805 0.0000 0.0000 0.0000 5.1144" Properties=species:S:1:pos:R:3 pbc="T T T"
Ac 0.0000 2.5903 0.0000
Ac 2.5903 0.0000 0.0000
Ho 0.0000 0.0000 2.5572
Sn 2.5903 2.5903 2.5572
```

This record from Alexandria via LeMat-Bulk describes a geometry-optimized Ac2Ho2Sn structure. The functional is PBE-GGA.

Calculated values
Total magnetic moment in μB per formula unit: 0.00
DFT total energy in eV per cell: -20.85
E_form in meV per atom: 104

Geometry as extended XYZ:
```
5
Lattice="-2.1982 2.1982 9.8394 2.1982 -2.1982 9.8394 2.1982 2.1982 -9.8394" Properties=species:S:1:pos:R:3 pbc="T T T"
Ac 0.0000 0.0000 1.7335
Ac 0.0000 0.0000 17.9454
Ho 2.1982 0.0000 4.9197
Ho 0.0000 2.1982 4.9197
Sn 0.0000 0.0000 9.8394
```

This record from Alexandria via LeMat-Bulk describes a geometry-optimized Ac2HoSn2 structure. The functional is PBE-GGA.

Calculated values
Total magnetic moment in μB per formula unit: 0.00
Relative energy among the computed polymorphs in meV per atom: 116.3
DFT total energy in eV per cell: -46.87
E_form in meV per atom: -527

Geometry as extended XYZ:
```
10
Lattice="-4.1008 6.7069 3.4643 4.1008 -6.7069 3.4643 4.1008 6.7069 -3.4643" Properties=species:S:1:pos:R:3 pbc="T T T"
Ac 1.2915 1.9746 0.0000
Ac 1.2915 -1.9746 3.4643
Ac 2.8093 8.6815 0.0000
Ac 2.8093 4.7323 3.4643
Ho 4.1008 0.0000 1.7321
Ho 0.0000 6.7069 1.7321
Sn 6.1527 1.4759 0.0000
Sn 2.0519 5.2310 0.0000
Sn 2.0489 1.4759 3.4643
Sn -2.0519 5.2310 3.4643
```

This record from Alexandria via LeMat-Bulk describes a geometry-optimized Ac2Ho2Sn7 structure. The functional is PBE-GGA.

Calculated values
Total magnetic moment in μB per formula unit: 0.00
DFT total energy in eV per cell: -47.60
E_form in meV per atom: -201

Geometry as extended XYZ:
```
11
Lattice="5.2787 -5.9053 0.0000 5.2787 5.9053 0.0000 0.0000 0.0000 6.1437" Properties=species:S:1:pos:R:3 pbc="T T T"
Ac 2.0587 0.0000 0.0000
Ac 8.4986 0.0000 0.0000
Ho 5.2787 2.8520 3.0719
Ho 5.2787 -2.8520 3.0719
Sn 0.0000 0.0000 3.0719
Sn 2.6393 2.9526 1.4997
Sn 2.6393 2.9526 4.6440
Sn 2.6393 -2.9526 1.4997
Sn 2.6393 -2.9526 4.6440
Sn 5.2787 0.0000 1.5202
Sn 5.2787 0.0000 4.6235
```

This record from Alexandria via LeMat-Bulk describes a geometry-optimized Ac2HoSn structure. The functional is PBE-GGA.

Calculated values
Total magnetic moment in μB per formula unit: 0.00
Relative energy among the computed polymorphs in meV per atom: 41.0
DFT total energy in eV per cell: -17.87
E_form in meV per atom: -269

Geometry as extended XYZ:
```
4
Lattice="4.4383 0.0000 0.0000 0.0000 4.4383 0.0000 0.0000 0.0000 7.3015" Properties=species:S:1:pos:R:3 pbc="T T T"
Ac 0.0000 0.0000 1.6920
Ac 0.0000 0.0000 5.6095
Ho 2.2192 2.2192 3.6508
Sn 2.2192 2.2192 0.0000
```

This record from Alexandria via LeMat-Bulk describes a geometry-optimized Ac4HoSn5 structure. The functional is PBE-GGA.

Calculated values
Total magnetic moment in μB per formula unit: 0.00
DFT total energy in eV per cell: -47.04
E_form in meV per atom: -601

Geometry as extended XYZ:
```
10
Lattice="3.8000 0.0000 0.0000 0.0000 3.8000 0.0000 0.0000 0.0000 22.3972" Properties=species:S:1:pos:R:3 pbc="T T T"
Ac 0.0000 0.0000 2.3196
Ac 0.0000 0.0000 6.9697
Ac 0.0000 0.0000 15.4275
Ac 0.0000 0.0000 20.0776
Ho 0.0000 0.0000 11.1986
Sn 1.9000 1.9000 0.0000
Sn 1.9000 1.9000 4.6439
Sn 1.9000 1.9000 9.2783
Sn 1.9000 1.9000 13.1189
Sn 1.9000 1.9000 17.7533
```